Below is a geometry-optimized Ce4Cd6Pb7 structure, with properties calculated at the PBE level.

```
17
Lattice="8.045 0.000 -2.844 -4.022 6.967 -2.844 0.000 0.000 8.533" Properties=species:S:1:pos:R:3 pbc="T T T"
Ce -2.011 3.483 -1.422
Ce 0.000 0.000 4.266
Ce 4.022 0.000 -1.422
Ce 2.011 3.483 1.422
Cd -2.812 4.871 3.977
Cd 5.625 0.000 3.977
Cd 1.210 2.096 -1.711
Cd -1.210 2.096 1.711
Cd 2.812 4.871 -3.977
Cd 2.420 0.000 1.711
Pb 5.028 1.742 1.422
Pb 0.000 0.000 0.000
Pb 0.000 3.483 4.266
Pb 4.022 3.483 -1.422
Pb 1.006 5.225 -1.422
Pb 3.017 1.742 4.266
Pb -1.006 5.225 1.422
```

Total DFT energy (no corrections), Ry per atom: -0.2546
Formation energy, kJ per mole of atoms: -21.0
Magnetic moment, μB per atom: 0.278

=====

Below is a geometry-optimized Ce2CdPb structure, with properties calculated at the PBE level.

```
4
Lattice="3.311 0.000 0.000 1.655 2.867 0.000 1.655 0.956 11.342" Properties=species:S:1:pos:R:3 pbc="T T T"
Ce 4.966 2.867 8.548
Ce 1.655 0.956 2.794
Cd 0.000 0.000 0.000
Pb 3.311 1.912 5.671
```

Total DFT energy (no corrections), Ry per atom: -0.3122
Formation energy, kJ per mole of atoms: -12.0
Magnetic moment, μB per atom: 0.090

=====

Below is a geometry-optimized CeCd2Pb structure, with properties calculated at the PBE level.

```
4
Lattice="5.003 0.000 0.000 0.000 4.611 0.000 0.000 0.000 4.611" Properties=species:S:1:pos:R:3 pbc="T T T"
Cd 0.000 2.306 0.000
Cd 0.000 0.000 2.306
Ce 2.501 0.000 0.000
Pb 2.501 2.306 2.306
```

Total DFT energy (no corrections), Ry per atom: -0.2316
Formation energy, kJ per mole of atoms: -27.3
Magnetic moment, μB per atom: 0.225

=====

Which value of magnetic moment does entry 1 give?
0.278 μB per atom

=====

The highest formation energy belongs to which entry?
Ce2CdPb

=====

Repeat the third record exactly.
Below is a geometry-optimized CeCd2Pb structure, with properties calculated at the PBE level.

```
4
Lattice="5.003 0.000 0.000 0.000 4.611 0.000 0.000 0.000 4.611" Properties=species:S:1:pos:R:3 pbc="T T T"
Cd 0.000 2.306 0.000
Cd 0.000 0.000 2.306
Ce 2.501 0.000 0.000
Pb 2.501 2.306 2.306
```

Total DFT energy (no corrections), Ry per atom: -0.2316
Formation energy, kJ per mole of atoms: -27.3
Magnetic moment, μB per atom: 0.225